Entry from Alexandria: an optimized crystal structure of CsRb4Cr3F12 (GGA+U).

Unit cell a=7.8160 b=7.8160 c=7.8160 alpha=109.47 beta=109.47 gamma=109.47
Fractional positions:
Cs 0.0000 0.0000 0.0000
Rb 0.0000 0.0000 0.5000
Rb 0.0000 0.5000 0.0000
Rb 0.5000 0.0000 0.0000
Rb 0.5000 0.5000 0.5000
Cr 0.0000 0.5000 0.5000
Cr 0.5000 0.0000 0.5000
Cr 0.5000 0.5000 0.0000
F 0.0000 0.2892 0.2892
F 0.0000 0.7108 0.7108
F 0.2500 0.5000 0.7500
F 0.2500 0.7500 0.5000
F 0.2892 0.0000 0.2892
F 0.2892 0.2892 0.0000
F 0.5000 0.2500 0.7500
F 0.5000 0.7500 0.2500
F 0.7108 0.0000 0.7108
F 0.7108 0.7108 0.0000
F 0.7500 0.2500 0.5000
F 0.7500 0.5000 0.2500

## Properties
For the total magnetization, the calculation gives 11.00 Bohr magnetons per cell. For the uncorrected energy, the calculation gives -5.151 eV/atom. The value obtained for the density of states at the Fermi level is 2.30 states/eV/cell.